## one
A relaxed structure of InCuI3. Source: Alexandria, functional PBE.

Cell and atoms, written as POSCAR:
```
InCuI3
1.0
-0.146 1.792 3.941
5.910 -4.093 2.080
7.299 7.690 -5.608
In Cu I
2 2 6
Direct
0.836 0.009 0.671
0.164 0.509 0.329
0.382 0.432 0.763
0.618 0.932 0.237
0.930 0.300 0.860
0.070 0.800 0.140
0.604 0.275 0.208
0.396 0.775 0.792
0.721 0.778 0.443
0.279 0.278 0.557
```

Crystal system = orthorhombic
Magnetic moment = 0.0 μB per cell
SG = Cmc2_1 (36)
Calculated density = 4.86 Mg/m³



## two
A relaxed structure of InCuI3. Source: Alexandria, functional PBE.

Cell and atoms, written as POSCAR:
```
InCuI3
1.0
-1.219 5.366 0.446
-5.272 -1.096 -1.220
-1.097 -0.696 5.366
I Cu In
3 1 1
Direct
0.000 0.500 0.000
0.000 0.000 0.500
0.500 0.000 0.000
0.000 0.000 0.000
0.500 0.500 0.500
```

Crystal system = cubic
Magnetic moment = 0.0 μB per cell
SG = Pm-3m (221)
Calculated density = 5.52 Mg/m³



Stability verdict: one, ahead by 13.5 kJ/mol of atoms



## one
A relaxed structure of In2Cu2I. Source: Alexandria, functional PBE.

Cell and atoms, written as POSCAR:
```
In2Cu2I
1.0
-3.463 2.291 -2.071
-0.503 -3.488 -3.018
-5.665 -3.048 0.901
I Cu In
1 2 2
Direct
0.000 0.000 0.000
0.387 0.387 0.225
0.613 0.613 0.775
0.750 0.250 0.500
0.250 0.750 0.500
```

Crystal system = tetragonal
Magnetic moment = 0.0 μB per cell
SG = I4/mmm (139)
Calculated density = 6.65 Mg/m³



## two
A relaxed structure of In2Cu2I. Source: Alexandria, functional PBE.

Cell and atoms, written as POSCAR:
```
In2Cu2I
1.0
8.541 0.000 0.000
0.000 8.541 0.000
0.000 0.000 3.148
I Cu In
2 4 4
Direct
0.000 0.000 0.000
0.500 0.500 0.000
0.102 0.602 0.500
0.602 0.898 0.500
0.898 0.398 0.500
0.398 0.102 0.500
0.313 0.813 0.000
0.813 0.687 0.000
0.687 0.187 0.000
0.187 0.313 0.000
```

Crystal system = tetragonal
Magnetic moment = 0.0 μB per cell
SG = P4/mbm (127)
Calculated density = 6.99 Mg/m³



## three
A relaxed structure of In2Cu2I. Source: Alexandria, functional PBE.

Cell and atoms, written as POSCAR:
```
In2Cu2I
1.0
-1.424 -2.989 6.959
-2.001 -6.681 -3.279
3.630 -1.199 0.228
I Cu In
2 4 4
Direct
0.000 0.000 0.000
0.500 0.500 0.000
0.386 0.886 0.000
0.886 0.614 0.000
0.614 0.114 0.000
0.114 0.386 0.000
0.165 0.665 0.500
0.665 0.835 0.500
0.835 0.335 0.500
0.335 0.165 0.500
```

Crystal system = tetragonal
Magnetic moment = 0.0 μB per cell
SG = P4/mbm (127)
Calculated density = 7.06 Mg/m³



Stability verdict: three, ahead by 4.1 kJ/mol of atoms



## one
A relaxed structure of InCuTe2I. Source: Alexandria, functional PBE.

Cell and atoms, written as POSCAR:
```
InCuTe2I
1.0
5.696 0.000 0.000
0.000 5.696 0.000
0.000 0.000 5.939
I Te Cu In
1 2 1 1
Direct
0.000 0.000 0.500
0.000 0.500 0.000
0.500 0.000 0.000
0.500 0.500 0.500
0.000 0.000 0.000
```

Crystal system = tetragonal
Magnetic moment = 0.0 μB per cell
SG = P4/mmm (123)
Calculated density = 4.83 Mg/m³



## two
A relaxed structure of InCuTe2I. Source: Alexandria, functional PBE.

Cell and atoms, written as POSCAR:
```
InCuTe2I
1.0
-4.152 1.211 -2.915
-0.130 -4.878 -1.841
-3.432 -1.515 4.258
I Te Cu In
1 2 1 1
Direct
0.000 0.000 0.500
0.000 0.500 0.000
0.500 0.000 0.000
0.000 0.000 0.000
0.500 0.500 0.500
```

Crystal system = tetragonal
Magnetic moment = 0.0 μB per cell
SG = P4/mmm (123)
Calculated density = 6.03 Mg/m³



Stability verdict: two, ahead by 52.9 kJ/mol of atoms



## one
A relaxed structure of CuIr2I. Source: Alexandria, functional PBE.

Cell and atoms, written as POSCAR:
```
CuIr2I
1.0
-0.396 4.174 -3.905
1.219 -3.762 -4.145
-5.062 -0.890 -4.641
I Ir Cu
2 4 2
Direct
0.000 0.000 0.000
0.750 0.250 0.500
0.608 0.125 0.250
0.142 0.625 0.250
0.375 0.392 0.750
0.875 0.858 0.750
0.500 0.500 0.000
0.250 0.750 0.500
```

Crystal system = tetragonal
Magnetic moment = 0.0 μB per cell
SG = I-42d (122)
Calculated density = 10.36 Mg/m³



## two
A relaxed structure of CuIr2I. Source: Alexandria, functional PBE.

Cell and atoms, written as POSCAR:
```
CuIr2I
1.0
-3.861 -1.080 2.082
-2.022 2.999 2.709
-3.875 1.943 -1.275
I Ir Cu
1 2 1
Direct
0.500 0.500 0.500
0.250 0.250 0.250
0.750 0.750 0.750
0.000 0.000 0.000
```

Crystal system = cubic
Magnetic moment = 0.3 μB per cell
SG = Fm-3m (225)
Calculated density = 14.64 Mg/m³



Stability verdict: two, ahead by 32.2 kJ/mol of atoms



## one
A relaxed structure of CuIrI2N. Source: Alexandria, functional PBE.

Cell and atoms, written as POSCAR:
```
CuIrI2N
1.0
-1.864 4.008 3.045
-4.035 -3.131 1.651
1.979 -1.128 2.697
I Ir Cu N
2 1 1 1
Direct
0.000 0.500 0.000
0.500 0.000 0.000
0.500 0.500 0.500
0.000 0.000 0.000
0.000 0.000 0.500
```

Crystal system = tetragonal
Magnetic moment = 1.8 μB per cell
SG = P4/mmm (123)
Calculated density = 8.55 Mg/m³



## two
A relaxed structure of CuIrI2N. Source: Alexandria, functional PBE.

Cell and atoms, written as POSCAR:
```
CuIrI2N
1.0
5.625 0.000 0.000
0.000 5.625 0.000
0.000 0.000 3.703
I Ir Cu N
2 1 1 1
Direct
0.000 0.500 0.000
0.500 0.000 0.000
0.000 0.000 0.000
0.500 0.500 0.500
0.000 0.000 0.500
```

Crystal system = tetragonal
Magnetic moment = 0.0 μB per cell
SG = P4/mmm (123)
Calculated density = 7.42 Mg/m³



Stability verdict: two, ahead by 75.6 kJ/mol of atoms



## one
A relaxed structure of CuIrIN2. Source: Alexandria, functional PBE.

Cell and atoms, written as POSCAR:
```
CuIrIN2
1.0
3.751 0.000 0.000
0.000 3.751 0.000
0.000 0.000 6.767
I Ir Cu N
1 1 1 2
Direct
0.000 0.000 0.500
0.500 0.500 0.500
0.000 0.000 0.000
0.000 0.500 0.000
0.500 0.000 0.000
```

Crystal system = tetragonal
Magnetic moment = 3.9 μB per cell
SG = P4/mmm (123)
Calculated density = 7.16 Mg/m³



## two
A relaxed structure of CuIrIN2. Source: Alexandria, functional PBE.

Cell and atoms, written as POSCAR:
```
CuIrIN2
1.0
3.748 0.000 0.000
0.000 3.748 0.000
0.000 0.000 8.626
I Ir Cu N
1 1 1 2
Direct
0.000 0.000 0.500
0.000 0.000 0.000
0.500 0.500 0.500
0.000 0.500 0.000
0.500 0.000 0.000
```

Crystal system = tetragonal
Magnetic moment = 0.0 μB per cell
SG = P4/mmm (123)
Calculated density = 5.63 Mg/m³



Stability verdict: two, ahead by 110.3 kJ/mol of atoms